Entry from the Alexandria database: crystalline Na3TaBr at its relaxed geometry (PBE). Values from VASP.

## Properties
* spin magnetization: 4.98 Bohr magnetons per cell
* energy above the most stable polymorph in this dataset: 0.0 meV/atom

Geometry as Quantum ESPRESSO input:
```
&SYSTEM
  ibrav = 0, nat = 5, ntyp = 3
/
ATOMIC_SPECIES
Ta 180.95 Ta.upf
Br 79.90 Br.upf
Na 22.99 Na.upf
ATOMIC_POSITIONS angstrom
Ta -2.6880 -3.5604 1.6620
Br 0.0000 0.0000 0.0000
Na 0.6424 -2.6692 -0.1334
Na -0.7718 -0.3166 2.6190
Na -2.5586 -0.5746 -0.8235
CELL_PARAMETERS angstrom
-5.1172 -1.1492 -1.6470
1.2848 -5.3383 -0.2668
-1.5436 -0.6333 5.2379
```